Computed, not measured: a relaxed Cs3SiPt crystal at the PBEsol level of DFT.

abc: 6.3831 6.3831 6.3831
angles: 90.00 90.00 90.00
Sites, in units of the cell vectors:
Cs  0.0000  0.5000  0.0000
Cs  0.0000  0.0000  0.5000
Cs  0.5000  0.0000  0.0000
Si  0.5000  0.5000  0.5000
Pt  0.0000  0.0000  0.0000

Output
DOS at the Fermi energy: 1.10 states/eV per cell
E above lowest polymorph: 0 meV per atom
M_tot: 2.97 μB/cell
volume: 52.02 Å³ per atom
space group: Pm-3m, No. 221

Computed, not measured: a relaxed Sc3HgSe crystal at the PBEsol level of DFT.

abc: 4.8962 4.8962 4.8962
angles: 90.00 90.00 90.00
Sites, in units of the cell vectors:
Sc  0.0000  0.5000  0.0000
Sc  0.0000  0.0000  0.5000
Sc  0.5000  0.0000  0.0000
Hg  0.5000  0.5000  0.5000
Se  0.0000  0.0000  0.0000

Output
DOS at the Fermi energy: 2.39 states/eV per cell
E above lowest polymorph: 0 meV per atom
M_tot: 0.00 μB/cell
volume: 23.48 Å³ per atom
space group: Pm-3m, No. 221

Computed, not measured: a relaxed Zr2WAu2 crystal at the PBEsol level of DFT.

abc: 3.5994 3.5994 8.1827
angles: 102.71 102.71 90.00
Sites, in units of the cell vectors:
Au  0.2500  0.7500  0.5000
Au  0.7500  0.2500  0.5000
Zr  0.4041  0.4041  0.8083
Zr  0.5959  0.5959  0.1917
W  0.0000  0.0000  0.0000

Output
DOS at the Fermi energy: 2.45 states/eV per cell
M_tot: 0.00 μB/cell
volume: 20.15 Å³ per atom
formation energy: 18.1 kJ/mol of atoms
space group: I4/mmm, No. 139

Computed, not measured: a relaxed FeSi2O6 crystal at the PBEsol level of DFT.

abc: 5.0988 5.1453 18.7920
angles: 88.11 86.21 60.30
Sites, in units of the cell vectors:
Fe  0.6867  0.1572  0.5000
Fe  0.1561  0.1572  0.0000
Fe  0.3133  0.8428  0.5000
Fe  0.8439  0.8428  0.0000
Si  0.3751  0.5193  0.3570
Si  0.1057  0.5191  0.1430
Si  0.6249  0.4807  0.6430
Si  0.8943  0.4809  0.8570
Si  0.6925  0.8630  0.3566
Si  0.4446  0.8628  0.1434
Si  0.3075  0.1370  0.6434
Si  0.5554  0.1372  0.8566
O  0.3929  0.5025  0.4448
O  0.1046  0.5024  0.0552
O  0.6071  0.4975  0.5552
O  0.8954  0.4976  0.9448
O  0.6335  0.8837  0.4447
O  0.4829  0.8837  0.0554
O  0.3665  0.1163  0.5553
O  0.5171  0.1163  0.9446
O  0.0135  0.1204  0.4503
O  0.8661  0.1203  0.0497
O  0.9865  0.8796  0.5497
O  0.1339  0.8797  0.9503
O  0.0385  0.6238  0.3337
O  0.3379  0.6234  0.1664
O  0.9615  0.3762  0.6663
O  0.6621  0.3766  0.8336
O  0.4749  0.7551  0.3249
O  0.7702  0.7547  0.1751
O  0.5251  0.2449  0.6751
O  0.2298  0.2453  0.8249
O  0.6060  0.1901  0.3249
O  0.2041  0.1897  0.1751
O  0.3940  0.8099  0.6751
O  0.7959  0.8103  0.8249

Output
DOS at the Fermi energy: 8.79 states/eV per cell
uncorrected energy: -7.98 eV per atom
M_tot: 8.01 μB/cell
volume: 11.87 Å³ per atom
space group: C2/c, No. 15

Computed, not measured: a relaxed CaBeOs crystal at the PBEsol level of DFT.

abc: 3.1383 3.1383 5.4155
angles: 106.84 106.84 90.00
Sites, in units of the cell vectors:
Be  0.0592  0.0592  0.1184
Ca  0.3273  0.3273  0.6546
Os  0.6135  0.6135  0.2270

Output
DOS at the Fermi energy: 1.49 states/eV per cell
E above lowest polymorph: 0 meV per atom
M_tot: 0.00 μB/cell
volume: 16.22 Å³ per atom
formation energy: 10.5 kJ/mol of atoms
space group: I4mm, No. 107

Computed, not measured: a relaxed NaCrCl2 crystal at the PBEsol level of DFT.

abc: 4.7376 4.7376 4.7376
angles: 60.00 60.00 60.00
Sites, in units of the cell vectors:
Cr  0.5000  0.5000  0.5000
Na  0.0000  0.0000  0.0000
Cl  0.2500  0.2500  0.2500
Cl  0.7500  0.7500  0.7500

Output
DOS at the Fermi energy: 1.97 states/eV per cell
uncorrected energy: -4.56 eV per atom
M_tot: 5.00 μB/cell
volume: 18.80 Å³ per atom
space group: Fm-3m, No. 225

Computed, not measured: a relaxed SiNi2Ir crystal at the PBEsol level of DFT.

abc: 2.8436 4.0677 4.7465
angles: 115.37 107.43 90.00
Sites, in units of the cell vectors:
Ir  0.7722  0.2722  0.5445
Ni  0.9935  0.9935  0.9869
Ni  0.2247  0.7247  0.4494
Si  0.5096  0.5096  0.0192

Output
DOS at the Fermi energy: 3.19 states/eV per cell
uncorrected energy: -7.31 eV per atom
M_tot: 0.00 μB/cell
volume: 11.70 Å³ per atom
space group: Imm2, No. 44

Computed, not measured: a relaxed LaCd3I crystal at the PBEsol level of DFT.

abc: 5.5672 5.5672 5.5672
angles: 90.00 90.00 90.00
Sites, in units of the cell vectors:
I  0.0000  0.0000  0.0000
Cd  0.0000  0.5000  0.0000
Cd  0.0000  0.0000  0.5000
Cd  0.5000  0.0000  0.0000
La  0.5000  0.5000  0.5000

Output
DOS at the Fermi energy: 5.41 states/eV per cell
uncorrected energy: -1.51 eV per atom
M_tot: 0.00 μB/cell
volume: 34.51 Å³ per atom
space group: Pm-3m, No. 221

Repeat the third record exactly.
Computed, not measured: a relaxed Zr2WAu2 crystal at the PBEsol level of DFT.

abc: 3.5994 3.5994 8.1827
angles: 102.71 102.71 90.00
Sites, in units of the cell vectors:
Au  0.2500  0.7500  0.5000
Au  0.7500  0.2500  0.5000
Zr  0.4041  0.4041  0.8083
Zr  0.5959  0.5959  0.1917
W  0.0000  0.0000  0.0000

Output
DOS at the Fermi energy: 2.45 states/eV per cell
M_tot: 0.00 μB/cell
volume: 20.15 Å³ per atom
formation energy: 18.1 kJ/mol of atoms
space group: I4/mmm, No. 139